Here is PmGa2Ag10 after structural relaxation from Alexandria. Energies are from PBE.

Summary:
- crystal system = orthorhombic
- magnetic moment (Bohr magnetons per cell) = 0.0
- space-group type = Fmmm, No. 69
- formation enthalpy at 0 K (kJ/mol of atoms) = -7.6

Unit cell a=9.550 b=7.356 c=7.197 alpha=82.02 beta=49.71 gamma=48.27
Atoms (fractional coordinates):
Pm  0.000  0.000  0.000
Ga  0.000  0.000  0.500
Ga  0.500  0.500  0.000
Ag  0.000  0.500  0.000
Ag  0.005  0.651  0.349
Ag  0.286  0.504  0.496
Ag  0.349  0.995  0.005
Ag  0.496  0.714  0.286
Ag  0.500  0.000  0.500
Ag  0.504  0.286  0.714
Ag  0.651  0.005  0.995
Ag  0.714  0.496  0.504
Ag  0.995  0.349  0.651